NpRhSe2 | Alexandria | PBE | optimized geometry; E = -7.3869 eV per atom; DOS at the Fermi energy = 2.006 states/eV/atom; energy relative to the elements, uncorrected = -0.572 eV per atom; spin magnetization = 2.617 μB/f.u.; V = 27.767 A^3/atom; relative energy among the computed polymorphs = 0.000 eV/atom
1.0
-0.850 -1.658 3.530
3.039 -1.027 2.889
0.634 6.331 4.795
Np Rh Se
1 1 2
direct
0.811 0.101 0.775
0.255 0.764 0.006
0.151 0.530 0.575
0.488 0.089 0.123